No. 1
The following is a DFT calculation (GGA-PBE) of a relaxed Dy12Tm7Bi crystal.

The calculation puts the density of states at the Fermi level at 74.22 states/eV/cell. The value obtained for the mass density is 8.718 g/cm3. The calculated formation energy is 0.119 eV/atom.

It has space group R-3m (No. 166, hexagonal axes), with a = 10.8802 Å, b = 10.8802 Å, c = 18.6244 Å, α = 90.00°, β = 90.00° and γ = 120.00°. The asymmetric unit holds Dy at (0.0783, 0.5392, 0.2731), Dy at (0.0936, 0.5468, 0.5675), Tm at (0.0000, 0.0000, 0.0000), Tm at (0.1021, 0.5511, 0.9097) and Bi at (0.0000, 0.0000, 0.5000).

=====

No. 2
The following is a DFT calculation (GGA-PBE) of a relaxed DyTm3Bi crystal.

The calculation puts the density of states at the Fermi level at 9.59 states/eV/cell. The value obtained for the mass density is 9.951 g/cm3. The calculated formation energy is -0.258 eV/atom.

It has space group P1 (No. 1), with a = 6.230 Å, b = 6.389 Å, c = 8.856 Å, α = 83.24°, β = 69.82° and γ = 62.51°. The asymmetric unit holds Dy at (0.000, 0.000, 0.000), Dy at (0.050, 0.505, 0.864), Tm at (0.360, 0.322, 0.467), Tm at (0.410, 0.413, 0.075), Tm at (0.485, 0.846, 0.192), Tm at (0.583, 0.963, 0.785), Tm at (0.716, 0.401, 0.671), Tm at (0.903, 0.819, 0.388), Bi at (0.232, 0.868, 0.599) and Bi at (0.908, 0.339, 0.279).

=====

No. 3
The following is a DFT calculation (GGA-PBE) of a relaxed DyTmBi crystal.

The calculation puts the density of states at the Fermi level at 3.30 states/eV/cell. The value obtained for the mass density is 9.907 g/cm3. The calculated formation energy is -0.245 eV/atom.

It has space group P3m1 (No. 156), with a = 5.2342 Å, b = 5.2342 Å, c = 3.8176 Å, α = 90.00°, β = 90.00° and γ = 120.00°. The asymmetric unit holds Dy at (0.0000, 0.0000, 0.0000), Tm at (0.3333, 0.6667, 0.4661) and Bi at (0.6667, 0.3333, 0.7092).

=====

No. 4
The following is a DFT calculation (GGA-PBE) of a relaxed Dy3TmBi4 crystal.

The calculation puts the density of states at the Fermi level at 0.48 states/eV/cell. The value obtained for the mass density is 9.880 g/cm3. The calculated formation energy is -0.844 eV/atom. The calculation puts the relative energy among the computed polymorphs at 0 meV per atom.

It has space group Pm-3m (No. 221), with a = 6.307 Å, b = 6.307 Å, c = 6.307 Å, α = 90.00°, β = 90.00° and γ = 90.00°. The asymmetric unit holds Dy at (0.000, 0.000, 0.500), Tm at (0.500, 0.500, 0.500), Bi at (0.000, 0.000, 0.000) and Bi at (0.000, 0.500, 0.500).

=====

No. 5
The following is a DFT calculation (GGA-PBE) of a relaxed DyTm2Bi3 crystal.

The calculation puts the density of states at the Fermi level at 2.47 states/eV/cell. The value obtained for the mass density is 10.050 g/cm3. The calculated formation energy is -0.807 eV/atom.

It has space group Immm (No. 71), with a = 4.445 Å, b = 6.283 Å, c = 13.338 Å, α = 90.00°, β = 90.00° and γ = 90.00°. The asymmetric unit holds Dy at (0.000, 0.000, 0.000), Tm at (0.000, 0.000, 0.334), Bi at (0.000, 0.500, 0.000) and Bi at (0.000, 0.500, 0.332).

=====

No. 6
The following is a DFT calculation (GGA-PBE) of a relaxed Dy2Tm3Bi2 crystal.

The calculation puts the density of states at the Fermi level at 11.44 states/eV/cell. The value obtained for the mass density is 9.874 g/cm3. The calculated formation energy is -0.436 eV/atom.

It has space group C2/m (No. 12), with a = 12.037 Å, b = 4.315 Å, c = 8.523 Å, α = 90.00°, β = 108.28° and γ = 90.00°. The asymmetric unit holds Dy at (0.120, 0.000, 0.266), Tm at (0.000, 0.500, 0.500), Tm at (0.126, 0.500, 0.943) and Bi at (0.176, 0.000, 0.687).

=====

No. 7
The following is a DFT calculation (GGA-PBE) of a relaxed DyTm2Bi crystal.

The calculation puts the density of states at the Fermi level at 11.91 states/eV/cell. The value obtained for the mass density is 9.267 g/cm3. The calculated formation energy is 0.038 eV/atom. The calculation puts the relative energy among the computed polymorphs at 451 meV per atom.

It has space group R-3m (No. 166, hexagonal axes), with a = 3.5158 Å, b = 3.5158 Å, c = 35.6227 Å, α = 90.00°, β = 90.00° and γ = 120.00°. The asymmetric unit holds Dy at (0.0000, 0.0000, 0.0000), Tm at (0.0000, 0.0000, 0.4121) and Bi at (0.0000, 0.0000, 0.5000).

=====

No. 8
The following is a DFT calculation (GGA-PBE) of a relaxed Dy4TmBi5 crystal.

The calculation puts the density of states at the Fermi level at 3.38 states/eV/cell. The value obtained for the mass density is 9.835 g/cm3. The calculated formation energy is -0.843 eV/atom.

It has space group I4/m (No. 87), with a = 9.984 Å, b = 9.984 Å, c = 6.314 Å, α = 90.00°, β = 90.00° and γ = 90.00°. The asymmetric unit holds Dy at (0.099, 0.700, 0.000), Tm at (0.000, 0.000, 0.500), Bi at (0.000, 0.000, 0.000) and Bi at (0.100, 0.702, 0.500).

=====

No. 9
The following is a DFT calculation (GGA-PBE) of a relaxed Dy5Tm2Bi5 crystal.

The calculation puts the density of states at the Fermi level at 16.36 states/eV/cell. The value obtained for the mass density is 9.626 g/cm3. The calculated formation energy is -0.569 eV/atom.

It has space group C2/m (No. 12), with a = 14.607 Å, b = 4.426 Å, c = 12.699 Å, α = 90.00°, β = 112.69° and γ = 90.00°. The asymmetric unit holds Dy at (0.000, 0.000, 0.000), Dy at (0.163, 0.000, 0.530), Dy at (0.209, 0.000, 0.833), Tm at (0.052, 0.500, 0.290), Bi at (0.000, 0.500, 0.500), Bi at (0.119, 0.500, 0.935) and Bi at (0.196, 0.000, 0.281).

=====

No. 10
The following is a DFT calculation (GGA-PBE) of a relaxed DyTmBi2 crystal.

The calculation puts the density of states at the Fermi level at 1.20 states/eV/cell. The value obtained for the mass density is 9.977 g/cm3. The calculated formation energy is -0.821 eV/atom. The calculation puts the relative energy among the computed polymorphs at 0 meV per atom.

It has space group Pmmn (No. 59, origin choice 2), with a = 4.451 Å, b = 6.293 Å, c = 8.905 Å, α = 90.00°, β = 90.00° and γ = 90.00°. The asymmetric unit holds Dy at (0.250, 0.250, 0.125), Tm at (0.250, 0.250, 0.625), Bi at (0.250, 0.750, 0.127) and Bi at (0.250, 0.750, 0.623).

=====

No. 11
The following is a DFT calculation (GGA-PBE) of a relaxed Dy2TmBi crystal.

The calculation puts the density of states at the Fermi level at 3.74 states/eV/cell. The value obtained for the mass density is 9.888 g/cm3. The calculated formation energy is -0.356 eV/atom. The calculation puts the relative energy among the computed polymorphs at 26 meV per atom.

It has space group P4/mmm (No. 123), with a = 4.191 Å, b = 4.191 Å, c = 6.719 Å, α = 90.00°, β = 90.00° and γ = 90.00°. The asymmetric unit holds Dy at (0.000, 0.000, 0.242), Tm at (0.500, 0.500, 0.500) and Bi at (0.500, 0.500, 0.000).

=====

No. 12
The following is a DFT calculation (GGA-PBE) of a relaxed Dy2TmBi crystal.

The calculation puts the density of states at the Fermi level at 14.85 states/eV/cell. The value obtained for the mass density is 9.522 g/cm3. The calculated formation energy is -0.196 eV/atom. The calculation puts the relative energy among the computed polymorphs at 186 meV per atom.

It has space group R3m (No. 160, hexagonal axes), with a = 3.6311 Å, b = 3.6311 Å, c = 32.2049 Å, α = 90.00°, β = 90.00° and γ = 120.00°. The asymmetric unit holds Dy at (0.0000, 0.0000, 0.0000), Dy at (0.0000, 0.0000, 0.1711), Tm at (0.0000, 0.0000, 0.7525) and Bi at (0.0000, 0.0000, 0.5857).